Run a
The following is a PBE calculation of CeZrTl after structural relaxation, from Alexandria via LeMat-Bulk.

Cell lengths 10.745, 3.492, 8.398 Å; angles 90.00, 108.93, 90.00 degrees
Fractional positions:
Ce 0.178 0.000 0.064
Ce 0.322 0.500 0.936
Ce 0.678 0.500 0.064
Ce 0.822 0.000 0.936
Zr 0.165 0.000 0.583
Zr 0.335 0.500 0.417
Zr 0.665 0.500 0.583
Zr 0.835 0.000 0.417
Tl 0.017 0.500 0.269
Tl 0.483 0.000 0.731
Tl 0.517 0.000 0.269
Tl 0.983 0.500 0.731

Values from the calculation:
Symmetry: No. 12

***

Run b
The following is a PBE calculation of CeZrTl after structural relaxation, from Alexandria via LeMat-Bulk.

Cell lengths 5.951, 6.496, 8.089 Å; angles 90.00, 90.00, 90.00 degrees
Fractional positions:
Ce 0.000 0.000 0.000
Ce 0.000 0.500 0.000
Ce 0.500 0.000 0.500
Ce 0.500 0.500 0.500
Zr 0.250 0.250 0.250
Zr 0.250 0.750 0.750
Zr 0.750 0.250 0.250
Zr 0.750 0.750 0.750
Tl 0.000 0.250 0.615
Tl 0.000 0.750 0.385
Tl 0.500 0.250 0.885
Tl 0.500 0.750 0.115

Values from the calculation:
Symmetry: No. 74

***

Q: Which of them is the least stable? A: run b.

***

Run a
The following is a PBE calculation of CeTm4 after structural relaxation, from Alexandria via LeMat-Bulk.

Cell lengths 8.995, 8.995, 3.814 Å; angles 90.00, 90.00, 90.00 degrees
Fractional positions:
Ce 0.000 0.000 0.000
Ce 0.500 0.500 0.500
Tm 0.111 0.314 0.500
Tm 0.186 0.611 0.000
Tm 0.314 0.889 0.500
Tm 0.389 0.186 0.000
Tm 0.611 0.814 0.000
Tm 0.686 0.111 0.500
Tm 0.814 0.389 0.000
Tm 0.889 0.686 0.500

Values from the calculation:
Symmetry: No. 87

***

Run b
The following is a PBE calculation of CeTm4 after structural relaxation, from Alexandria via LeMat-Bulk.

Cell lengths 6.405, 6.405, 8.540 Å; angles 105.59, 105.59, 64.81 degrees
Fractional positions:
Ce 0.199 0.801 0.000
Ce 0.801 0.199 0.000
Tm 0.147 0.655 0.602
Tm 0.201 0.201 0.781
Tm 0.310 0.310 0.221
Tm 0.345 0.853 0.398
Tm 0.655 0.147 0.602
Tm 0.690 0.690 0.779
Tm 0.799 0.799 0.219
Tm 0.853 0.345 0.398

Values from the calculation:
Symmetry: No. 12

***

Run c
The following is a PBE calculation of CeTm4 after structural relaxation, from Alexandria via LeMat-Bulk.

Cell lengths 5.460, 5.460, 5.460 Å; angles 90.00, 90.00, 90.00 degrees
Fractional positions:
Ce 0.000 0.000 0.000
Tm 0.000 0.000 0.500
Tm 0.000 0.500 0.000
Tm 0.500 0.000 0.000
Tm 0.500 0.500 0.500

Values from the calculation:
Symmetry: No. 221

***

Q: Which of them is the least stable? A: run c.

***

Run a
The following is a PBE calculation of CeTm2 after structural relaxation, from Alexandria via LeMat-Bulk.

Cell lengths 6.580, 6.580, 6.580 Å; angles 60.00, 60.00, 60.00 degrees
Fractional positions:
Ce 0.125 0.125 0.125
Ce 0.875 0.875 0.875
Tm 0.000 0.500 0.500
Tm 0.500 0.000 0.500
Tm 0.500 0.500 0.000
Tm 0.500 0.500 0.500

Values from the calculation:
Symmetry: No. 227

***

Run b
The following is a PBE calculation of CeTm2 after structural relaxation, from Alexandria via LeMat-Bulk.

Cell lengths 3.484, 3.484, 14.802 Å; angles 90.00, 90.00, 90.00 degrees
Fractional positions:
Ce 0.000 0.000 0.000
Ce 0.500 0.500 0.500
Tm 0.000 0.000 0.335
Tm 0.000 0.000 0.665
Tm 0.500 0.500 0.165
Tm 0.500 0.500 0.835

Values from the calculation:
Symmetry: No. 139

***

Run c
The following is a PBE calculation of CeTm2 after structural relaxation, from Alexandria via LeMat-Bulk.

Cell lengths 3.395, 3.395, 17.986 Å; angles 90.00, 90.00, 120.00 degrees
Fractional positions:
Ce 0.333 0.667 0.250
Ce 0.667 0.333 0.750
Tm 0.000 0.000 0.091
Tm 0.000 0.000 0.409
Tm 0.000 0.000 0.591
Tm 0.000 0.000 0.909

Values from the calculation:
Symmetry: No. 194

***

Q: Which of them is the least stable? A: run a.

***

Run a
The following is a PBE calculation of CeTm3 after structural relaxation, from Alexandria via LeMat-Bulk.

Cell lengths 3.559, 11.193, 6.111 Å; angles 90.00, 90.00, 90.00 degrees
Fractional positions:
Ce 0.000 0.000 0.000
Ce 0.500 0.500 0.500
Tm 0.000 0.249 0.657
Tm 0.000 0.500 0.991
Tm 0.000 0.751 0.657
Tm 0.500 0.000 0.491
Tm 0.500 0.251 0.157
Tm 0.500 0.749 0.157

Values from the calculation:
Symmetry: No. 44

***

Run b
The following is a PBE calculation of CeTm3 after structural relaxation, from Alexandria via LeMat-Bulk.

Cell lengths 4.932, 4.932, 4.932 Å; angles 90.00, 90.00, 90.00 degrees
Fractional positions:
Ce 0.000 0.000 0.000
Tm 0.000 0.500 0.500
Tm 0.500 0.000 0.500
Tm 0.500 0.500 0.000

Values from the calculation:
Symmetry: No. 221

***

Run c
The following is a PBE calculation of CeTm3 after structural relaxation, from Alexandria via LeMat-Bulk.

Cell lengths 7.894, 7.894, 7.894 Å; angles 90.00, 90.00, 90.00 degrees
Fractional positions:
Ce 0.000 0.000 0.000
Ce 0.000 0.500 0.500
Ce 0.500 0.000 0.500
Ce 0.500 0.500 0.000
Tm 0.000 0.000 0.500
Tm 0.000 0.500 0.000
Tm 0.250 0.250 0.250
Tm 0.250 0.250 0.750
Tm 0.250 0.750 0.250
Tm 0.250 0.750 0.750
Tm 0.500 0.000 0.000
Tm 0.500 0.500 0.500
Tm 0.750 0.250 0.250
Tm 0.750 0.250 0.750
Tm 0.750 0.750 0.250
Tm 0.750 0.750 0.750

Values from the calculation:
Symmetry: No. 225

***

Q: Which of them is the least stable? A: run c.

***

Run a
The following is a PBE calculation of CeTm3 after structural relaxation, from Alexandria via LeMat-Bulk.

Cell lengths 3.544, 5.612, 6.116 Å; angles 90.00, 90.00, 90.00 degrees
Fractional positions:
Ce 0.000 0.000 0.000
Tm 0.000 0.500 0.336
Tm 0.500 0.000 0.507
Tm 0.500 0.500 0.841

Values from the calculation:
Symmetry: No. 25

***

Run b
The following is a PBE calculation of CeTm3 after structural relaxation, from Alexandria via LeMat-Bulk.

Cell lengths 3.598, 5.752, 11.684 Å; angles 90.00, 90.00, 90.00 degrees
Fractional positions:
Ce 0.000 0.000 0.000
Ce 0.500 0.500 0.000
Tm 0.000 0.000 0.500
Tm 0.000 0.500 0.253
Tm 0.000 0.500 0.747
Tm 0.500 0.000 0.253
Tm 0.500 0.000 0.747
Tm 0.500 0.500 0.500

Values from the calculation:
Symmetry: No. 65

***

Q: Which of them is the least stable? A: run b.

***

Run a
The following is a PBE calculation of CeY8Tm2 after structural relaxation, from Alexandria via LeMat-Bulk.

Cell lengths 7.549, 7.549, 9.693 Å; angles 118.83, 118.83, 52.41 degrees
Fractional positions:
Ce 0.000 0.000 0.000
Y 0.122 0.122 0.801
Y 0.128 0.634 0.520
Y 0.366 0.872 0.480
Y 0.373 0.373 0.829
Y 0.627 0.627 0.171
Y 0.634 0.128 0.520
Y 0.872 0.366 0.480
Y 0.878 0.878 0.199
Tm 0.355 0.355 0.185
Tm 0.645 0.645 0.815

Values from the calculation:
Symmetry: No. 12

***

Run b
The following is a PBE calculation of CeY8Tm2 after structural relaxation, from Alexandria via LeMat-Bulk.

Cell lengths 9.307, 9.307, 6.359 Å; angles 101.67, 101.67, 42.33 degrees
Fractional positions:
Ce 0.000 0.000 0.000
Y 0.086 0.573 0.889
Y 0.132 0.132 0.593
Y 0.427 0.914 0.111
Y 0.493 0.493 0.246
Y 0.507 0.507 0.754
Y 0.573 0.086 0.889
Y 0.868 0.868 0.407
Y 0.914 0.427 0.111
Tm 0.317 0.317 0.411
Tm 0.683 0.683 0.589

Values from the calculation:
Symmetry: No. 12

***

Q: Which of them is the least stable? A: run a.